This record from Alexandria via LeMat-Bulk describes a relaxed structure of KFe3I9. The functional is PBE.

```
KFe3I9
1.0
10.388 -5.477 0.000
10.388 5.477 0.000
-10.192 0.000 11.401
K Fe I
2 6 18
direct
0.074 0.926 0.500
0.926 0.074 0.000
0.131 0.485 0.735
0.354 0.595 0.292
0.485 0.131 0.235
0.519 0.819 0.884
0.595 0.354 0.792
0.819 0.519 0.384
0.088 0.758 0.210
0.134 0.272 0.740
0.180 0.695 0.934
0.239 0.874 0.779
0.272 0.134 0.240
0.312 0.387 0.638
0.387 0.312 0.138
0.419 0.627 0.492
0.531 0.674 0.298
0.609 0.958 0.871
0.610 0.858 0.102
0.627 0.419 0.992
0.674 0.531 0.798
0.695 0.180 0.434
0.758 0.088 0.710
0.858 0.610 0.602
0.874 0.239 0.279
0.958 0.609 0.371
```

Output
* SG: No. 9
* raw formation energy: -346 meV per atom
* calculated volume: 49.89 A^3/atom
* D(E_F): 0.44 states/eV/atom